Record 1
Here is a relaxed CrGeTe3 crystal from Alexandria. Energies are from PBE. Values from VASP.

## Properties
uncorrected formation energy: -0.1656 eV per atom
space-group type: P-1
calculated density: 5.56 Mg/m³
total magnetic moment: 3.0 μB/f.u.
crystal system: triclinic

Geometry as Quantum ESPRESSO input:
```
&SYSTEM
  ibrav = 0, nat = 10, ntyp = 3
/
ATOMIC_SPECIES
Cr 52.00 Cr.upf
Ge 72.64 Ge.upf
Te 127.60 Te.upf
ATOMIC_POSITIONS crystal
Cr 0.3338 0.3336 0.9986
Cr 0.6662 0.6664 0.0014
Ge 0.0554 0.0544 0.8348
Ge 0.9446 0.9456 0.1652
Te 0.2931 0.5489 0.2352
Te 0.5475 0.9237 0.2354
Te 0.9222 0.2947 0.2353
Te 0.7069 0.4511 0.7648
Te 0.4525 0.0763 0.7646
Te 0.0778 0.7053 0.7647
CELL_PARAMETERS angstrom
-3.7677 -4.1401 -4.0600
-1.9956 -6.2101 2.2940
-8.0571 -0.4819 2.0644
```

---

Record 2
Here is a relaxed VPPb crystal from Alexandria. Energies are from PBE. Values from VASP.

## Properties
space-group type: Pmn2_1
formation energy: 36 meV/atom
calculated density: 7.71 Mg/m³
total magnetic moment: 0.9 μB/f.u.
crystal system: orthorhombic

Geometry as Quantum ESPRESSO input:
```
&SYSTEM
  ibrav = 0, nat = 6, ntyp = 3
/
ATOMIC_SPECIES
V 50.94 V.upf
Pb 207.20 Pb.upf
P 30.97 P.upf
ATOMIC_POSITIONS crystal
V 0.5000 0.6194 0.0058
V 0.0000 0.3806 0.5058
Pb 0.0000 0.0552 0.1605
Pb 0.5000 0.9448 0.6605
P 0.0000 0.4381 0.8357
P 0.5000 0.5619 0.3357
CELL_PARAMETERS angstrom
-3.0737 -1.6392 0.2340
2.2065 -4.3409 -1.4261
1.3302 -1.5341 6.7275
```

---

Record 3
Here is a relaxed Cu3SiO crystal from Alexandria. Energies are from PBE. Values from VASP.

## Properties
uncorrected formation energy: 0.9481 eV per atom
ΔE to the lowest computed polymorph: 791 meV per atom
space-group type: Pm-3m
calculated density: 4.69 Mg/m³
total magnetic moment: 0.0 μB/f.u.
crystal system: cubic

Geometry as Quantum ESPRESSO input:
```
&SYSTEM
  ibrav = 0, nat = 5, ntyp = 3
/
ATOMIC_SPECIES
Si 28.09 Si.upf
O 16.00 O.upf
Cu 63.55 Cu.upf
ATOMIC_POSITIONS crystal
Si 0.0000 0.0000 0.0000
O 0.5000 0.5000 0.5000
Cu 0.0000 0.5000 0.0000
Cu 0.0000 0.0000 0.5000
Cu 0.5000 0.0000 0.0000
CELL_PARAMETERS angstrom
4.3624 0.0000 0.0000
0.0000 4.3624 0.0000
0.0000 0.0000 4.3624
```

---

Record 4
Here is a relaxed LiTmPS4 crystal from Alexandria. Energies are from PBE. Values from VASP.

## Properties
uncorrected formation energy: -0.9291 eV per atom
space-group type: Imma
calculated density: 3.86 Mg/m³
total magnetic moment: 0.0 μB/f.u.
crystal system: orthorhombic

Geometry as Quantum ESPRESSO input:
```
&SYSTEM
  ibrav = 0, nat = 14, ntyp = 4
/
ATOMIC_SPECIES
Li 6.94 Li.upf
Tm 168.93 Tm.upf
P 30.97 P.upf
S 32.06 S.upf
ATOMIC_POSITIONS crystal
Li 0.5000 0.0000 0.5000
Li 0.0000 0.0000 0.5000
Tm 0.0000 0.0000 0.0000
Tm 0.0000 0.5000 0.5000
P 0.6315 0.6185 0.1185
P 0.3685 0.3815 0.8815
S 0.7373 0.7482 0.7771
S 0.2627 0.7229 0.7518
S 0.7373 0.2771 0.2482
S 0.2627 0.2518 0.2229
S 0.2533 0.7526 0.2526
S 0.7415 0.7526 0.2526
S 0.2585 0.2474 0.7474
S 0.7467 0.2474 0.7474
CELL_PARAMETERS angstrom
-4.2487 5.8474 1.5090
-7.1670 -0.9313 1.4948
-2.3086 1.2023 6.9059
```

---

Record 5
Here is a relaxed Sr3Sn4Au4 crystal from Alexandria. Energies are from PBE. Values from VASP.

## Properties
space-group type: Immm
formation energy: -622 meV/atom
calculated density: 8.41 Mg/m³
total magnetic moment: 0.0 μB/f.u.
crystal system: orthorhombic

Geometry as Quantum ESPRESSO input:
```
&SYSTEM
  ibrav = 0, nat = 11, ntyp = 3
/
ATOMIC_SPECIES
Sr 87.62 Sr.upf
Sn 118.71 Sn.upf
Au 196.97 Au.upf
ATOMIC_POSITIONS crystal
Sr 0.3552 0.8552 0.7104
Sr 0.6448 0.1448 0.2896
Sr 0.0000 0.0000 0.0000
Sn 0.2542 0.2542 0.5083
Sn 0.0945 0.5945 0.1890
Sn 0.9055 0.4055 0.8110
Sn 0.7458 0.7458 0.4917
Au 0.8120 0.3120 0.6240
Au 0.4521 0.4521 0.9043
Au 0.5479 0.5479 0.0957
Au 0.1880 0.6880 0.3760
CELL_PARAMETERS angstrom
-4.1486 1.2055 2.0108
-1.8523 -3.5043 -1.7207
6.5308 -6.5636 11.7627
```

---

Record 6
Here is a relaxed Ho6InRh2 crystal from Alexandria. Energies are from PBE. Values from VASP.

## Properties
space-group type: Immm
formation energy: -593 meV/atom
calculated density: 9.39 Mg/m³
total magnetic moment: 0.0 μB/f.u.
crystal system: orthorhombic

Geometry as Quantum ESPRESSO input:
```
&SYSTEM
  ibrav = 0, nat = 18, ntyp = 3
/
ATOMIC_SPECIES
Ho 164.93 Ho.upf
In 114.82 In.upf
Rh 102.91 Rh.upf
ATOMIC_POSITIONS crystal
Ho 0.5291 0.7114 0.8177
Ho 0.4709 0.2886 0.1823
Ho 0.1063 0.2886 0.8177
Ho 0.8937 0.7114 0.1823
Ho 0.7976 0.7621 0.5597
Ho 0.2024 0.2379 0.4403
Ho 0.2024 0.7621 0.9646
Ho 0.7976 0.2379 0.0354
Ho 0.6934 0.3649 0.6715
Ho 0.3066 0.6351 0.3285
Ho 0.3066 0.9781 0.6715
Ho 0.6934 0.0219 0.3285
In 0.0000 0.5000 0.5000
In 0.0000 0.0000 0.0000
Rh 0.5000 0.3672 0.8672
Rh 0.5000 0.6328 0.1328
Rh 0.6664 0.0000 0.6664
Rh 0.3336 0.0000 0.3336
CELL_PARAMETERS angstrom
-1.5081 -8.2641 1.0011
8.2360 1.7879 -0.7375
-2.5245 4.3913 6.7761
```

---

Record 7
Here is a relaxed PuP4 crystal from Alexandria. Energies are from PBE. Values from VASP.

## Properties
ΔE to the lowest computed polymorph: 0 meV per atom
space-group type: P2_1/c
formation energy: -323 meV/atom
calculated density: 5.76 Mg/m³
total magnetic moment: 5.5 μB/f.u.
crystal system: monoclinic

Geometry as Quantum ESPRESSO input:
```
&SYSTEM
  ibrav = 0, nat = 10, ntyp = 2
/
ATOMIC_SPECIES
Pu 244.00 Pu.upf
P 30.97 P.upf
ATOMIC_POSITIONS crystal
Pu 0.0000 0.0000 0.0000
Pu 0.5000 0.0000 0.5000
P 0.3044 0.2793 0.2568
P 0.8044 0.7207 0.2432
P 0.6956 0.7207 0.7432
P 0.1956 0.2793 0.7568
P 0.8686 0.4022 0.5898
P 0.3686 0.5978 0.9102
P 0.1314 0.5978 0.4102
P 0.6314 0.4022 0.0898
CELL_PARAMETERS angstrom
4.5483 0.0000 0.0000
0.0000 5.9647 0.1564
0.0000 -1.2320 7.7881
```

---

Record 8
Here is a relaxed Ti6MnSn2 crystal from Alexandria. Energies are from PBE. Values from VASP.

## Properties
space-group type: P4_2/mnm
formation energy: 421 meV/atom
calculated density: 4.82 Mg/m³
total magnetic moment: 0.0 μB/f.u.
crystal system: tetragonal

Geometry as Quantum ESPRESSO input:
```
&SYSTEM
  ibrav = 0, nat = 18, ntyp = 3
/
ATOMIC_SPECIES
Ti 47.87 Ti.upf
Mn 54.94 Mn.upf
Sn 118.71 Sn.upf
ATOMIC_POSITIONS crystal
Ti 0.3138 0.3138 0.3808
Ti 0.6862 0.6862 0.3808
Ti 0.1862 0.8138 0.8808
Ti 0.8138 0.1862 0.8808
Ti 0.1862 0.8138 0.1192
Ti 0.8138 0.1862 0.1192
Ti 0.3138 0.3138 0.6192
Ti 0.6862 0.6862 0.6192
Ti 0.3199 0.3199 0.0000
Ti 0.6801 0.6801 0.0000
Ti 0.1801 0.8199 0.5000
Ti 0.8199 0.1801 0.5000
Mn 0.0000 0.0000 0.0000
Mn 0.5000 0.5000 0.5000
Sn 0.0000 0.0000 0.3025
Sn 0.5000 0.5000 0.8025
Sn 0.5000 0.5000 0.1975
Sn 0.0000 0.0000 0.6975
CELL_PARAMETERS angstrom
5.5085 0.0000 0.0000
0.0000 5.5085 0.0000
0.0000 0.0000 13.1722
```

---

Please write out number 8 again, unchanged.
Here is a relaxed Ti6MnSn2 crystal from Alexandria. Energies are from PBE. Values from VASP.

## Properties
space-group type: P4_2/mnm
formation energy: 421 meV/atom
calculated density: 4.82 Mg/m³
total magnetic moment: 0.0 μB/f.u.
crystal system: tetragonal

Geometry as Quantum ESPRESSO input:
```
&SYSTEM
  ibrav = 0, nat = 18, ntyp = 3
/
ATOMIC_SPECIES
Ti 47.87 Ti.upf
Mn 54.94 Mn.upf
Sn 118.71 Sn.upf
ATOMIC_POSITIONS crystal
Ti 0.3138 0.3138 0.3808
Ti 0.6862 0.6862 0.3808
Ti 0.1862 0.8138 0.8808
Ti 0.8138 0.1862 0.8808
Ti 0.1862 0.8138 0.1192
Ti 0.8138 0.1862 0.1192
Ti 0.3138 0.3138 0.6192
Ti 0.6862 0.6862 0.6192
Ti 0.3199 0.3199 0.0000
Ti 0.6801 0.6801 0.0000
Ti 0.1801 0.8199 0.5000
Ti 0.8199 0.1801 0.5000
Mn 0.0000 0.0000 0.0000
Mn 0.5000 0.5000 0.5000
Sn 0.0000 0.0000 0.3025
Sn 0.5000 0.5000 0.8025
Sn 0.5000 0.5000 0.1975
Sn 0.0000 0.0000 0.6975
CELL_PARAMETERS angstrom
5.5085 0.0000 0.0000
0.0000 5.5085 0.0000
0.0000 0.0000 13.1722
```

---

Which formula does entry 8 have?
Ti6MnSn2